(1)
Here is a relaxed USiPt crystal from OQMD via LeMat-Bulk. Energies are from GGA-PBE.

Unit cell a=4.597 b=4.597 c=4.597 alpha=60.00 beta=60.00 gamma=60.00
Sites, in units of the cell vectors:
U (0.000, 0.000, 0.000)
Si (0.250, 0.250, 0.250)
Pt (0.750, 0.750, 0.750)

Properties
Total DFT energy (no corrections) = -7.472 eV/atom

***

(2)
Here is a relaxed YZnFeCo crystal from OQMD via LeMat-Bulk. Energies are from GGA-PBE.

Unit cell a=4.451 b=4.451 c=4.451 alpha=60.00 beta=60.00 gamma=60.00
Sites, in units of the cell vectors:
Y (0.000, 0.000, 0.000)
Zn (0.500, 0.500, 0.500)
Fe (0.250, 0.250, 0.250)
Co (0.750, 0.750, 0.750)

Properties
Offset from the most stable computed form = 60.8 meV per atom
Energy of formation from the pure elements = 159 meV per atom

***

(3)
Here is a relaxed LaHoGe2 crystal from OQMD via LeMat-Bulk. Energies are from GGA-PBE.

Unit cell a=10.296 b=10.296 c=4.542 alpha=90.00 beta=90.00 gamma=155.09
Sites, in units of the cell vectors:
La (0.091, 0.909, 0.750)
La (0.909, 0.091, 0.250)
Ho (0.253, 0.747, 0.250)
Ho (0.747, 0.253, 0.750)
Ge (0.347, 0.653, 0.750)
Ge (0.472, 0.528, 0.750)
Ge (0.528, 0.472, 0.250)
Ge (0.653, 0.347, 0.250)

Properties
Total DFT energy (no corrections) = -5.350 eV/atom

***

(4)
Here is a relaxed NdCuGe2Pt crystal from OQMD via LeMat-Bulk. Energies are from GGA-PBE.

Unit cell a=4.285 b=4.285 c=10.228 alpha=90.00 beta=90.00 gamma=90.00
Sites, in units of the cell vectors:
Nd (0.250, 0.250, 0.244)
Nd (0.750, 0.750, 0.756)
Cu (0.250, 0.750, 0.000)
Cu (0.750, 0.250, 0.000)
Ge (0.250, 0.250, 0.874)
Ge (0.250, 0.750, 0.500)
Ge (0.750, 0.250, 0.500)
Ge (0.750, 0.750, 0.126)
Pt (0.250, 0.250, 0.630)
Pt (0.750, 0.750, 0.370)

Properties
Total DFT energy (no corrections) = -5.491 eV/atom

***

(5)
Here is a relaxed NbAuNO crystal from OQMD via LeMat-Bulk. Energies are from GGA-PBE.

Unit cell a=3.648 b=6.432 c=6.211 alpha=90.00 beta=90.00 gamma=90.00
Sites, in units of the cell vectors:
Nb (0.000, 0.175, 0.000)
Nb (0.000, 0.825, 0.500)
Au (0.500, 0.496, 0.681)
Au (0.500, 0.504, 0.181)
N (0.500, 0.292, 0.931)
N (0.500, 0.708, 0.431)
O (0.000, 0.020, 0.260)
O (0.000, 0.980, 0.760)

Properties
Offset from the most stable computed form = 0.0 meV per atom

***

(6)
Here is a relaxed Al2Co4Br crystal from OQMD via LeMat-Bulk. Energies are from GGA-PBE.

Unit cell a=6.859 b=6.859 c=6.859 alpha=143.92 beta=143.92 gamma=51.95
Sites, in units of the cell vectors:
Al (0.128, 0.128, 0.000)
Al (0.872, 0.872, 0.000)
Co (0.000, 0.500, 0.500)
Co (0.316, 0.316, 0.000)
Co (0.500, 0.000, 0.500)
Co (0.684, 0.684, 0.000)
Br (0.500, 0.500, 0.000)

Properties
Total DFT energy (no corrections) = -4.494 eV/atom

***

(7)
Here is a relaxed Co3Ni10 crystal from OQMD via LeMat-Bulk. Energies are from GGA-PBE.

Unit cell a=8.462 b=8.462 c=8.462 alpha=31.34 beta=31.34 gamma=31.34
Sites, in units of the cell vectors:
Co (0.000, 0.000, 0.000)
Co (0.454, 0.454, 0.454)
Co (0.546, 0.546, 0.546)
Ni (0.089, 0.089, 0.585)
Ni (0.089, 0.585, 0.089)
Ni (0.166, 0.166, 0.166)
Ni (0.348, 0.348, 0.348)
Ni (0.415, 0.911, 0.911)
Ni (0.585, 0.089, 0.089)
Ni (0.652, 0.652, 0.652)
Ni (0.834, 0.834, 0.834)
Ni (0.911, 0.415, 0.911)
Ni (0.911, 0.911, 0.415)

Properties
Offset from the most stable computed form = 0.0 meV per atom
Energy of formation from the pure elements = 143 meV per atom

***

(8)
Here is a relaxed PuSiMo crystal from OQMD via LeMat-Bulk. Energies are from GGA-PBE.

Unit cell a=4.385 b=4.385 c=4.385 alpha=60.00 beta=60.00 gamma=60.00
Sites, in units of the cell vectors:
Pu (0.000, 0.000, 0.000)
Si (0.250, 0.250, 0.250)
Mo (0.750, 0.750, 0.750)

Properties
Total DFT energy (no corrections) = -9.250 eV/atom

***

Please write out number 7 again, unchanged.
Here is a relaxed Co3Ni10 crystal from OQMD via LeMat-Bulk. Energies are from GGA-PBE.

Unit cell a=8.462 b=8.462 c=8.462 alpha=31.34 beta=31.34 gamma=31.34
Sites, in units of the cell vectors:
Co (0.000, 0.000, 0.000)
Co (0.454, 0.454, 0.454)
Co (0.546, 0.546, 0.546)
Ni (0.089, 0.089, 0.585)
Ni (0.089, 0.585, 0.089)
Ni (0.166, 0.166, 0.166)
Ni (0.348, 0.348, 0.348)
Ni (0.415, 0.911, 0.911)
Ni (0.585, 0.089, 0.089)
Ni (0.652, 0.652, 0.652)
Ni (0.834, 0.834, 0.834)
Ni (0.911, 0.415, 0.911)
Ni (0.911, 0.911, 0.415)

Properties
Offset from the most stable computed form = 0.0 meV per atom
Energy of formation from the pure elements = 143 meV per atom